1.
Y3GeI3 | PBE | relaxed

Cell: 8.880 4.257 12.225 Å, 90.00 90.38 90.00°
Element x y z (fractional)
Y: 0.096 0.250 0.385
Y: 0.119 0.250 0.842
Y: 0.322 0.750 0.623
Y: 0.678 0.250 0.377
Y: 0.881 0.750 0.158
Y: 0.904 0.750 0.615
Ge: 0.118 0.250 0.618
Ge: 0.882 0.750 0.382
I: 0.135 0.250 0.119
I: 0.371 0.750 0.876
I: 0.384 0.750 0.368
I: 0.616 0.250 0.632
I: 0.629 0.250 0.124
I: 0.865 0.750 0.881

Summary:
D(E_F) ... 2.1 states/eV/f.u.
E_tot ... -5.238 eV/atom
Mass density ... 5.18 g/cm3
Space group ... P2_1/m (11)
Formation energy from raw total energies ... -1.1437 eV per atom

2.
Li2MgBeF6 | PBE | relaxed

Cell: 5.124 5.124 4.167 Å, 90.00 90.00 90.00°
Element x y z (fractional)
Li: 0.000 0.500 0.000
Li: 0.500 0.000 0.000
Mg: 0.000 0.000 0.685
Be: 0.500 0.500 0.661
F: 0.000 0.000 0.220
F: 0.267 0.267 0.772
F: 0.267 0.733 0.772
F: 0.500 0.500 0.299
F: 0.733 0.267 0.772
F: 0.733 0.733 0.772

Summary:
D(E_F) ... 0.0 states/eV/f.u.
E_tot ... -5.093 eV/atom
Mass density ... 2.45 g/cm3
Space group ... P4mm (99)
Formation energy from raw total energies ... -3.0553 eV per atom

3.
Pr2Nd5SmSc | PBE | relaxed

Cell: 10.347 10.347 10.347 Å, 130.70 130.70 72.28°
Element x y z (fractional)
Pr: 0.123 0.623 0.746
Pr: 0.377 0.123 0.500
Pr: 0.623 0.877 0.500
Pr: 0.877 0.377 0.254
Nd: 0.000 0.000 0.000
Nd: 0.069 0.141 0.500
Nd: 0.141 0.641 0.071
Nd: 0.359 0.431 0.500
Nd: 0.431 0.931 0.071
Nd: 0.500 0.500 0.000
Nd: 0.569 0.069 0.929
Nd: 0.641 0.569 0.500
Nd: 0.859 0.359 0.929
Nd: 0.931 0.859 0.500
Sm: 0.250 0.250 0.000
Sm: 0.750 0.750 0.000
Sc: 0.250 0.750 0.500
Sc: 0.750 0.250 0.500

Summary:
D(E_F) ... 14.0 states/eV/f.u.
E_tot ... -4.662 eV/atom
Mass density ... 6.39 g/cm3
ΔE_f ... 276 meV/atom
Space group ... I4/mcm (140)

4.
Mg4Ir | PBE | relaxed

Cell: 4.996 4.996 4.996 Å, 90.00 90.00 90.00°
Element x y z (fractional)
Mg: 0.000 0.000 0.000
Mg: 0.000 0.500 0.500
Mg: 0.500 0.000 0.500
Mg: 0.500 0.500 0.000
Ir: 0.500 0.500 0.500

Summary:
D(E_F) ... 1.8 states/eV/f.u.
E_tot ... -2.996 eV/atom
Mass density ... 3.86 g/cm3
ΔE_f ... 52 meV/atom
Space group ... Pm-3m (221)

5.
Ac2La5Pr5 | PBE | relaxed

Cell: 8.408 8.408 11.897 Å, 115.02 115.02 37.13°
Element x y z (fractional)
Ac: 0.083 0.083 0.248
Ac: 0.917 0.917 0.752
La: 0.335 0.335 0.501
La: 0.414 0.414 0.249
La: 0.500 0.500 0.000
La: 0.586 0.586 0.751
La: 0.665 0.665 0.499
Pr: 0.000 0.000 0.500
Pr: 0.170 0.170 0.000
Pr: 0.248 0.248 0.750
Pr: 0.752 0.752 0.250
Pr: 0.830 0.830 0.000

Summary:
D(E_F) ... 21.4 states/eV/f.u.
E_tot ... -4.714 eV/atom
Mass density ... 6.77 g/cm3
ΔE_f ... 15 meV/atom
Space group ... C2/m (12)

6.
La6PmSm2Ho | PBE | relaxed

Cell: 6.743 6.743 9.287 Å, 104.84 104.84 62.53°
Element x y z (fractional)
La: 0.071 0.534 0.194
La: 0.129 0.129 0.422
La: 0.466 0.929 0.806
La: 0.534 0.071 0.194
La: 0.871 0.871 0.578
La: 0.929 0.466 0.806
Pm: 0.500 0.500 0.500
Sm: 0.427 0.427 0.830
Sm: 0.573 0.573 0.170
Ho: 0.000 0.000 0.000

Summary:
D(E_F) ... 18.1 states/eV/f.u.
E_tot ... -4.649 eV/atom
Mass density ... 6.71 g/cm3
ΔE_f ... 184 meV/atom
Space group ... C2/m (12)